# Rb3AgI2 (GGA-PBE, relaxed)
# Density of states at the Fermi level, states/eV/f.u.: 0.00
# Formation energy without anion corrections, eV/atom: -0.95
data_Rb3AgI2
_cell_length_a 5.2701
_cell_length_b 22.3863
_cell_length_c 5.2707
_cell_angle_alpha 90.00
_cell_angle_beta 90.00
_cell_angle_gamma 90.00
_space_group_name_H-M_alt 'I m m 2'
_space_group_IT_number 44
_space_group_name_Hall 'I 2 -2'
loop_
_atom_site_label
_atom_site_type_symbol
_atom_site_fract_x
_atom_site_fract_y
_atom_site_fract_z
Rb1 Rb 0.0000 0.0000 0.0000
Rb2 Rb 0.0000 0.3338 0.0007
Ag1 Ag 0.0000 0.5000 0.9998
I1 I 0.0000 0.1665 0.0008